(1)
Density functional theory data (PBE) for a relaxed CaBeSi crystal.

The electronic total energy comes out at -23.63 eV for the cell shown. Its density of states at the Fermi level is 0.80 states/eV/f.u. The value obtained for the total magnetization is 0.00 μB per atom.

Cell and atoms, written as extended XYZ:
```
6
Lattice="-0.558 -3.845 -0.783 2.604 1.855 -4.693 4.179 0.146 3.920" Properties=species:S:1:pos:R:3 pbc="T T T"
Be 2.213 -2.104 -0.831
Be 4.012 0.260 -0.725
Ca 3.580 -1.377 1.789
Ca 2.645 -0.467 -3.346
Si 4.614 -1.744 -1.224
Si 1.610 -0.099 -0.333
```


(2)
Density functional theory data (PBE) for a relaxed CeTl2Te3O12 crystal.

The electronic total energy comes out at -103.62 eV for the cell shown. Its density of states at the Fermi level is 0.00 states/eV/f.u. The value obtained for the total magnetization is 0.00 μB per atom.

Cell and atoms, written as extended XYZ:
```
18
Lattice="-6.038 -2.956 3.850 0.330 -6.638 3.981 -0.359 -0.346 7.732" Properties=species:S:1:pos:R:3 pbc="T T T"
Ce 0.000 0.000 0.000
Tl -3.681 -6.031 9.442
Tl -2.386 -3.910 6.121
Te -3.019 -1.478 1.925
Te 0.165 -3.319 1.990
Te -0.179 -0.173 3.866
O -2.150 -3.379 9.598
O -5.453 -9.077 9.981
O -2.111 -7.542 12.264
O -5.554 -4.943 7.272
O -5.858 -5.375 12.188
O -1.737 -7.149 7.350
O -3.916 -6.562 5.965
O -0.614 -0.864 5.582
O -3.956 -2.399 3.299
O -0.513 -4.998 8.291
O -0.208 -4.566 3.375
O -4.329 -2.792 8.213
```


(3)
Density functional theory data (PBE) for a relaxed LiPm4Cd crystal.

The electronic total energy comes out at -44.34 eV for the cell shown. Its density of states at the Fermi level is 8.46 states/eV/f.u. The value obtained for the total magnetization is 0.10 μB per atom.

Cell and atoms, written as extended XYZ:
```
12
Lattice="-4.493 1.408 -2.341 -2.495 -3.952 2.409 -2.769 7.873 10.049" Properties=species:S:1:pos:R:3 pbc="T T T"
Li -3.631 4.641 3.854
Li -2.632 1.960 6.229
Pm -1.680 -0.745 2.775
Pm -7.077 3.394 9.716
Pm -4.455 1.463 3.525
Pm -1.807 5.138 6.558
Pm -8.076 6.075 7.341
Pm -2.679 1.935 0.400
Pm -5.301 3.866 6.592
Pm -7.949 0.191 3.558
Cd 0.000 0.000 0.000
Cd -3.494 -1.272 0.034
```


(4)
Density functional theory data (PBE) for a relaxed Pm8GaRh2 crystal.

The energy above the most stable polymorph in this dataset is 7.9 kJ per mole of atoms. Its density of states at the Fermi level is 12.46 states/eV/f.u. The value obtained for the total magnetization is 0.00 μB per atom.

Cell and atoms, written as extended XYZ:
```
11
Lattice="-2.507 0.962 5.021 -6.317 1.295 -4.904 2.093 -7.758 1.031" Properties=species:S:1:pos:R:3 pbc="T T T"
Rh -5.148 -0.873 -0.690
Rh -1.613 -4.678 1.804
Ga -0.040 0.001 0.058
Pm -3.346 0.277 1.251
Pm -1.267 -1.961 2.717
Pm -2.095 -2.335 -0.592
Pm -2.397 -4.682 4.646
Pm -6.855 0.116 1.500
Pm -4.656 -3.209 1.702
Pm -5.485 -3.593 -1.618
Pm -3.408 -5.828 -0.153
```